Entry from Alexandria: a geometry-optimized NaTaIn2Ga structure (PBEsol).

Lattice parameters (Å, degrees): 5.0429 5.3661 5.3661 90.00 90.00 90.00
With the nearest neighbours (Å) after each atom.
Sites, in units of the cell vectors:
Na: 0.5000 0.5000 0.5000  8 In 3.68, 4 Ga 3.79
In: 0.0000 0.0000 0.5000  2 Ta 2.68
In: 0.0000 0.5000 0.0000  2 Ta 2.68
Ga: 0.5000 0.0000 0.0000  2 Ta 2.52
Ta: 0.0000 0.0000 0.0000  2 Ga 2.52, 4 In 2.68

Computed properties:
Formation enthalpy at 0 K, eV per atom: 0.426
D(E_F), states/eV per cell: 4.01
ρ, g/cm³: 5.76